# AcPr2Nd6Ho (GGA-PBE, optimized geometry)
data_AcPr2Nd6Ho
_chemical_formula_sum 'Ac4 Pr8 Nd24 Ho4'
_space_group_name_H-M_alt 'C 1 2/c 1'
_space_group_IT_number 15
_cell_length_a 9.413
_cell_length_b 15.731
_cell_length_c 9.878
_cell_angle_alpha 90.00
_cell_angle_beta 96.10
_cell_angle_gamma 90.00
loop_
_space_group_symop_operation_xyz
'x,y,z'
'-x,-y,-z'
'-x,y,-z+1/2'
'x,-y,z+1/2'
'x+1/2,y+1/2,z'
'-x+1/2,-y+1/2,-z'
'-x+1/2,y+1/2,-z+1/2'
'x+1/2,-y+1/2,z+1/2'
loop_
_atom_site_label
_atom_site_fract_x
_atom_site_fract_y
_atom_site_fract_z
_atom_site_occupancy
Ac1 0.000 0.022 0.250 1
Pr1 0.244 0.443 0.455 1
Nd1 0.061 0.191 0.945 1
Nd2 0.104 0.394 0.116 1
Nd3 0.210 0.225 0.311 1
Ho1 0.000 0.411 0.750 1
# Calculated density   7.0 Mg/m³
# DOS at the Fermi energy   58.90 states/eV per cell
# DFT total energy   -4.57 eV/atom
# Crystal system   monoclinic
# ΔH_f (0 K)   11 kJ/mol of atoms